Model one:
VASP calculation (PBE) on a relaxed structure of CaScZn.

## Properties
The space-group type is R3m, No. 160.

abc: 3.5389 3.5389 21.9028
angles: 90.00 90.00 120.00
Atoms (fractional coordinates):
Ca (0.0000, 0.0000, 0.4249)
Sc (0.0000, 0.0000, 0.8935)
Zn (0.0000, 0.0000, 0.6508)
Zn (0.3333, 0.6667, 0.3174)
Sc (0.3333, 0.6667, 0.5602)
Sc (0.6667, 0.3333, 0.2269)
Ca (0.3333, 0.6667, 0.0915)
Ca (0.6667, 0.3333, 0.7582)
Zn (0.6667, 0.3333, 0.9841)


Model two:
VASP calculation (PBE) on a relaxed structure of CaScZn.

## Properties
The space-group type is P3m1, No. 156.

abc: 4.9064 4.9064 3.7314
angles: 90.00 90.00 120.00
Atoms (fractional coordinates):
Sc (0.3333, 0.6667, 0.2891)
Ca (0.0000, 0.0000, 0.8017)
Zn (0.6667, 0.3333, 0.3509)


Model three:
VASP calculation (PBE) on a relaxed structure of CaScZn.

## Properties
The space-group type is Amm2, No. 38.

abc: 5.0278 3.5312 9.5518
angles: 90.00 90.00 90.00
Atoms (fractional coordinates):
Ca (0.0000, 0.0000, 0.3024)
Sc (0.5000, 0.0000, 0.5783)
Zn (0.5000, 0.5000, 0.3615)
Ca (0.0000, 0.5000, 0.8024)
Zn (0.5000, 0.0000, 0.8615)
Sc (0.5000, 0.5000, 0.0783)


Most favorable structure: model one. The second most favorable one is 1.4 kJ/mol of atoms above it.


Model one:
VASP calculation (PBE) on a relaxed structure of Ca3ScZn.

## Properties
The space-group type is Pm-3m, No. 221.

abc: 6.0250 6.0250 6.0250
angles: 90.00 90.00 90.00
Atoms (fractional coordinates):
Sc (0.0000, 0.0000, 0.0000)
Ca (0.0000, 0.0000, 0.5000)
Ca (0.5000, 0.0000, 0.0000)
Zn (0.5000, 0.5000, 0.5000)
Ca (0.0000, 0.5000, 0.0000)


Model two:
VASP calculation (PBE) on a relaxed structure of Ca3ScZn.

## Properties
The space-group type is Pm-3m, No. 221.

abc: 5.6680 5.6680 5.6680
angles: 90.00 90.00 90.00
Atoms (fractional coordinates):
Ca (0.0000, 0.5000, 0.0000)
Ca (0.5000, 0.0000, 0.0000)
Sc (0.5000, 0.5000, 0.5000)
Ca (0.0000, 0.0000, 0.5000)
Zn (0.0000, 0.0000, 0.0000)


Most favorable structure: model two. The second most favorable one is 52.7 kJ/mol of atoms above it.


Model one:
VASP calculation (PBE) on a relaxed structure of CaZr2Sc.

## Properties
The space-group type is P4/mmm, No. 123.

abc: 3.2274 3.2275 9.9604
angles: 90.00 90.00 90.02
Atoms (fractional coordinates):
Sc (0.5000, 0.5000, 0.7500)
Zr (0.0000, 0.0000, 0.5287)
Zr (0.0000, 0.0000, 0.9713)
Ca (0.5000, 0.5000, 0.2500)


Model two:
VASP calculation (PBE) on a relaxed structure of CaZr2Sc.

## Properties
The space-group type is P4mm, No. 99.

abc: 3.7579 3.7579 7.8384
angles: 90.00 90.00 90.00
Atoms (fractional coordinates):
Sc (0.5000, 0.5000, 0.8026)
Zr (0.5000, 0.5000, 0.1904)
Zr (0.0000, 0.0000, 0.0285)
Ca (0.0000, 0.0000, 0.4784)


Most favorable structure: model two. The second most favorable one is 0.9 kJ/mol of atoms above it.


Model one:
VASP calculation (PBE) on a relaxed structure of CaZr2Sc.

## Properties
The space-group type is P4/mmm, No. 123.

abc: 4.8417 4.5895 4.5895
angles: 90.00 90.00 90.00
Atoms (fractional coordinates):
Zr (0.0000, 0.5000, 0.5000)
Sc (0.5000, 0.0000, 0.5000)
Zr (0.0000, 0.0000, 0.0000)
Ca (0.5000, 0.5000, 0.0000)


Model two:
VASP calculation (PBE) on a relaxed structure of CaZr2Sc.

## Properties
The space-group type is P4mm, No. 99.

abc: 3.2489 3.2489 10.1889
angles: 90.00 90.00 90.00
Atoms (fractional coordinates):
Sc (0.5000, 0.5000, 0.7869)
Zr (0.5000, 0.5000, 0.2137)
Ca (0.0000, 0.0000, 0.4971)
Zr (0.0000, 0.0000, 0.0023)


Model three:
VASP calculation (PBE) on a relaxed structure of CaZr2Sc.

## Properties
The space-group type is Cm, No. 8.

abc: 5.5308 5.5308 6.2665
angles: 84.14 84.14 33.72
Atoms (fractional coordinates):
Ca (0.4991, 0.4991, 0.4991)
Zr (0.7417, 0.7417, 0.8024)
Zr (0.0024, 0.0024, 0.9786)
Sc (0.2568, 0.2568, 0.2199)


Most favorable structure: model two. The second most favorable one is 4.5 kJ/mol of atoms above it.


Model one:
VASP calculation (PBE) on a relaxed structure of Ca2ZrSc.

## Properties
The space-group type is P2/m, No. 10.

abc: 5.8315 3.3131 6.2016
angles: 83.43 90.00 90.00
Atoms (fractional coordinates):
Sc (0.5000, 0.2500, 0.2500)
Ca (0.0000, 0.4934, 0.5039)
Zr (0.5000, 0.7500, 0.7500)
Ca (0.0000, 0.0066, 0.9961)


Model two:
VASP calculation (PBE) on a relaxed structure of Ca2ZrSc.

## Properties
The space-group type is I4/mmm, No. 139.

abc: 6.2571 6.2571 6.2571
angles: 135.03 135.03 65.48
Atoms (fractional coordinates):
Ca (0.0000, 0.0000, 0.0000)
Sc (0.2500, 0.7500, 0.5000)
Zr (0.7500, 0.2500, 0.5000)
Ca (0.5000, 0.5000, 0.0000)


Most favorable structure: model one. The second most favorable one is 2.5 kJ/mol of atoms above it.


Model one:
VASP calculation (PBE) on a relaxed structure of Ca2ZrSc.

## Properties
The space-group type is Cmmm, No. 65.

abc: 3.3080 3.3080 11.5861
angles: 90.00 90.00 110.15
Atoms (fractional coordinates):
Sc (0.5000, 0.5000, 0.2500)
Zr (0.5000, 0.5000, 0.7500)
Ca (0.0000, 0.0000, 0.5041)
Ca (0.0000, 0.0000, 0.9959)


Model two:
VASP calculation (PBE) on a relaxed structure of Ca2ZrSc.

## Properties
The space-group type is P4mm, No. 99.

abc: 3.4409 3.4409 10.3677
angles: 90.00 90.00 90.00
Atoms (fractional coordinates):
Sc (0.0000, 0.0000, 0.5344)
Ca (0.5000, 0.5000, 0.2721)
Ca (0.0000, 0.0000, 0.9722)
Zr (0.5000, 0.5000, 0.7213)


Most favorable structure: model two. The second most favorable one is 19.9 kJ/mol of atoms above it.